# 1
Material: ZnSb2Pb2
Method: DFT, PBE
State: optimized geometry

Calculated values
For the energy relative to the lowest polymorph listed for this composition, the calculation gives 230 meV per atom. The uncorrected formation energy comes out at 1.124 eV per formula unit. The density of states at the Fermi level comes out at 4.8 states/eV/cell. The calculation puts the total energy at -3.1622 eV per atom.

Lattice parameters (Å, degrees): 8.705 8.705 4.073 90.00 90.00 90.00
Element x y z (fractional)
Zn (0.000, 0.000, 0.000)
Zn (0.500, 0.500, 0.000)
Sb (0.130, 0.370, 0.500)
Sb (0.370, 0.870, 0.500)
Sb (0.630, 0.130, 0.500)
Sb (0.870, 0.630, 0.500)
Pb (0.160, 0.660, 0.000)
Pb (0.340, 0.160, 0.000)
Pb (0.660, 0.840, 0.000)
Pb (0.840, 0.340, 0.000)



# 2
Material: ZnSb3Pb
Method: DFT, PBE
State: optimized geometry

Calculated values
For the energy relative to the lowest polymorph listed for this composition, the calculation gives 0 meV per atom. The uncorrected formation energy comes out at 2.001 eV per formula unit. The density of states at the Fermi level comes out at 3.9 states/eV/cell. The calculation puts the total energy at -3.0698 eV per atom.

Lattice parameters (Å, degrees): 5.294 5.294 5.294 90.00 90.00 90.00
Element x y z (fractional)
Zn (0.000, 0.000, 0.000)
Sb (0.000, 0.000, 0.500)
Sb (0.000, 0.500, 0.000)
Sb (0.500, 0.000, 0.000)
Pb (0.500, 0.500, 0.500)



# 3
Material: Zn2SbPb
Method: DFT, PBE
State: optimized geometry

Calculated values
For the energy relative to the lowest polymorph listed for this composition, the calculation gives 70 meV per atom. The uncorrected formation energy comes out at 0.671 eV per formula unit. The density of states at the Fermi level comes out at 1.9 states/eV/cell. The calculation puts the total energy at -2.4269 eV per atom.

Lattice parameters (Å, degrees): 9.753 9.753 9.753 19.97 19.97 19.97
Element x y z (fractional)
Zn (0.000, 0.000, 0.000)
Zn (0.272, 0.272, 0.272)
Sb (0.530, 0.530, 0.530)
Pb (0.755, 0.755, 0.755)



# 4
Material: ZnSb2Pb2
Method: DFT, PBE
State: optimized geometry

Calculated values
For the energy relative to the lowest polymorph listed for this composition, the calculation gives 0 meV per atom. The uncorrected formation energy comes out at -0.026 eV per formula unit. The density of states at the Fermi level comes out at 1.3 states/eV/cell. The calculation puts the total energy at -3.3924 eV per atom.

Lattice parameters (Å, degrees): 9.563 8.130 7.707 90.00 90.34 90.00
Element x y z (fractional)
Zn (0.112, 0.080, 0.148)
Zn (0.112, 0.420, 0.648)
Zn (0.888, 0.580, 0.352)
Zn (0.888, 0.920, 0.852)
Sb (0.127, 0.106, 0.781)
Sb (0.127, 0.394, 0.281)
Sb (0.368, 0.573, 0.735)
Sb (0.368, 0.927, 0.235)
Sb (0.632, 0.073, 0.765)
Sb (0.632, 0.427, 0.265)
Sb (0.873, 0.606, 0.719)
Sb (0.873, 0.894, 0.219)
Pb (0.155, 0.694, 0.020)
Pb (0.155, 0.806, 0.520)
Pb (0.410, 0.241, 0.503)
Pb (0.410, 0.259, 0.003)
Pb (0.590, 0.741, 0.997)
Pb (0.590, 0.759, 0.497)
Pb (0.845, 0.194, 0.480)
Pb (0.845, 0.306, 0.980)